Material: Np2Ga5Pt3
Method: DFT, PBE-GGA
State: relaxed

Values from the calculation:
Its formation energy is -0.577 eV/atom. As for the volume: 367 Å³/cell.

Lattice parameters (Å, degrees): 4.4093 6.6934 12.6426 90.00 100.04 90.00
Last column: magnetic moment on the atom in μB.
Positions (direct):
Ga 0.2925 0.9145 0.5850  -0.01
Np 0.8284 0.2218 0.6569  3.72
Ga 0.9487 0.0803 0.8973  -0.02
Pt 0.9481 0.4759 0.8961  -0.07
Ga 0.2914 0.5075 0.5827  -0.01
Ga 0.0513 0.5803 0.1027  -0.02
Ga 0.7075 0.4145 0.4150  -0.01
Ga 0.8767 0.7598 0.7534  -0.02
Ga 0.1233 0.2598 0.2466  -0.02
Pt 0.3933 0.0164 0.7866  -0.07
Ga 0.6042 0.9184 0.2083  -0.02
Np 0.4837 0.7606 0.9673  3.63
Ga 0.3958 0.4184 0.7917  -0.02
Np 0.1716 0.7218 0.3431  3.72
Ga 0.7086 0.0075 0.4173  -0.01
Np 0.5163 0.2606 0.0327  3.63
Pt 0.6067 0.5164 0.2134  -0.07
Pt 0.0519 0.9759 0.1039  -0.07
Pt 0.2248 0.2096 0.4496  -0.03
Pt 0.7752 0.7096 0.5504  -0.03

***

Material: Np4Ga16Pt3
Method: DFT, PBE-GGA
State: relaxed

Values from the calculation:
Its formation energy is -0.411 eV/atom. As for the volume: 429 Å³/cell.

Lattice parameters (Å, degrees): 6.2062 6.2062 11.1461 90.00 90.00 90.00
Last column: magnetic moment on the atom in μB.
Positions (direct):
Ga 0.2528 0.2528 0.6260  -0.01
Ga 0.7110 0.2890 0.0000  0.02
Ga 0.2528 0.7472 0.6260  -0.01
Ga 0.7472 0.7472 0.3740  -0.01
Ga 0.2528 0.7472 0.3740  -0.01
Np 0.5000 0.0000 0.8108  3.80
Pt 0.5000 0.0000 0.5000  -0.01
Ga 0.0000 0.0000 0.2282  0.00
Np 0.0000 0.5000 0.1892  3.80
Ga 0.5000 0.5000 0.2007  -0.01
Ga 0.5000 0.5000 0.7993  -0.01
Ga 0.0000 0.0000 0.7718  0.00
Ga 0.7472 0.7472 0.6260  -0.01
Np 0.5000 0.0000 0.1892  3.80
Ga 0.7110 0.7110 0.0000  0.02
Ga 0.2890 0.2890 0.0000  0.02
Pt 0.0000 0.5000 0.5000  -0.01
Ga 0.2890 0.7110 0.0000  0.02
Np 0.0000 0.5000 0.8108  3.80
Pt 0.0000 0.0000 0.0000  0.05
Ga 0.7472 0.2528 0.6260  -0.01
Ga 0.2528 0.2528 0.3740  -0.01
Ga 0.7472 0.2528 0.3740  -0.01

***

Material: NpGa3Pt
Method: DFT, PBE-GGA
State: relaxed

Values from the calculation:
Its formation energy is -0.416 eV/atom. As for the volume: 96 Å³/cell.

Lattice parameters (Å, degrees): 4.2397 4.2381 6.1561 69.67 69.68 90.00
Last column: magnetic moment on the atom in μB.
Positions (direct):
Ga 0.6495 0.9540 0.4044  -0.01
Pt 0.0227 0.8260 0.6552  -0.03
Ga 0.7997 0.6033 0.1090  -0.02
Ga 0.1506 0.4530 0.4042  -0.01
Np 0.3853 0.1889 0.9384  3.86

***

Material: Np2GaPt
Method: DFT, PBE-GGA
State: relaxed

Values from the calculation:
Its formation energy is -0.216 eV/atom. As for the volume: 80 Å³/cell.

Lattice parameters (Å, degrees): 2.9998 2.9998 8.9393 90.00 90.00 90.00
Last column: magnetic moment on the atom in μB.
Positions (direct):
Pt 0.5000 0.5000 0.0000  -0.02
Ga 0.5000 0.5000 0.5000  -0.07
Np 0.0000 0.0000 0.2431  3.86
Np 0.0000 0.0000 0.7569  3.86

***

Number 1: N(E_F) 2.0657 states/eV/atom, M_tot 7.42 μB/f.u.. Number 2: N(E_F) 1.4901 states/eV/atom, M_tot 16.19 μB/f.u.. Number 3: N(E_F) 2.1190 states/eV/atom, M_tot 4.02 μB/f.u.. Number 4: N(E_F) 2.2290 states/eV/atom, M_tot 7.96 μB/f.u..